# Tm4FeCo

A relaxed Tm4FeCo crystal (GGA-PBE, Alexandria via LeMat-Bulk).

Unit cell a=7.3108 b=7.3108 c=7.3108 alpha=106.73 beta=106.73 gamma=115.11
Closest atoms and distances in Å follow each position.
Fractional positions:
1 Tm 0.7029 0.5024 0.2005  2 Co 2.61-2.65, 1 Fe 2.62
2 Tm 0.7937 0.9977 0.7959  2 Fe 2.58-2.63, 1 Co 2.65
3 Co 0.2481 0.2481 0.0000  6 Tm 2.61-2.65
4 Tm 0.7477 0.0437 0.2959  2 Fe 2.58-2.63, 1 Co 2.65
5 Co 0.9981 0.4981 0.5000  6 Tm 2.61-2.65
6 Tm 0.2018 0.9977 0.2041  2 Fe 2.58-2.63, 1 Co 2.65
7 Fe 0.5015 0.0015 0.5000  6 Tm 2.58-2.63
8 Tm 0.2524 0.9529 0.7005  2 Co 2.61-2.65, 1 Fe 2.62
9 Tm 0.3019 0.5024 0.7995  2 Co 2.61-2.65, 1 Fe 2.62
10 Tm 0.2524 0.5519 0.2995  2 Co 2.61-2.65, 1 Fe 2.62
11 Tm 0.7477 0.4518 0.7041  2 Fe 2.58-2.63, 1 Co 2.65
12 Fe 0.7515 0.7515 0.0000  6 Tm 2.58-2.63

Output
theoretical density	8.79	Mg/m³
ΔE_f	0.02	eV/atom
calculated volume	299	Å³ per cell

# Tm2Fe5Co12

A relaxed Tm2Fe5Co12 crystal (GGA-PBE, Alexandria via LeMat-Bulk).

Unit cell a=6.2810 b=6.2810 c=6.2810 alpha=82.71 beta=82.71 gamma=82.71
Closest atoms and distances in Å follow each position.
Fractional positions:
1 Fe 0.0000 0.5000 0.0000  8 Co 2.38-2.41, 2 Fe 2.55
2 Co 0.6527 0.1585 0.6527  6 Co 2.39-2.56, 3 Fe 2.41-2.62
3 Co 0.8415 0.3473 0.3473  6 Co 2.39-2.56, 3 Fe 2.41-2.62
4 Co 0.6527 0.6527 0.1585  6 Co 2.39-2.56, 3 Fe 2.41-2.62
5 Co 0.1585 0.6527 0.6527  6 Co 2.39-2.56, 3 Fe 2.41-2.62
6 Tm 0.3420 0.3420 0.3420  15 Co 2.96-3.15, 4 Fe 3.00-3.21
7 Fe 0.5000 0.0000 0.0000  8 Co 2.38-2.41, 2 Fe 2.55
8 Co 0.3473 0.3473 0.8415  6 Co 2.39-2.56, 3 Fe 2.41-2.62
9 Fe 0.9039 0.9039 0.9039  4 Fe 2.34-2.55
10 Tm 0.6580 0.6580 0.6580  15 Co 2.96-3.15, 4 Fe 3.00-3.21
11 Co 0.3473 0.8415 0.3473  6 Co 2.39-2.56, 3 Fe 2.41-2.62
12 Fe 0.0000 0.0000 0.5000  8 Co 2.38-2.41, 2 Fe 2.55
13 Co 0.7087 0.2913 0.0000  2 Fe 2.38, 6 Co 2.42-2.56
14 Co 0.7087 0.0000 0.2913  2 Fe 2.38, 6 Co 2.42-2.56
15 Co 0.0000 0.7087 0.2913  2 Fe 2.38, 6 Co 2.42-2.56
16 Co 0.2913 0.7087 0.0000  2 Fe 2.38, 6 Co 2.42-2.56
17 Fe 0.0961 0.0961 0.0961  4 Fe 2.34-2.55
18 Co 0.0000 0.2913 0.7087  2 Fe 2.38, 6 Co 2.42-2.56
19 Co 0.2913 0.0000 0.7087  2 Fe 2.38, 6 Co 2.42-2.56

Output
theoretical density	9.08	Mg/m³
ΔE_f	-0.11	eV/atom
calculated volume	242	Å³ per cell

# Tm2ZnFe2Co5

A relaxed Tm2ZnFe2Co5 crystal (GGA-PBE, Alexandria via LeMat-Bulk).

Unit cell a=3.6923 b=8.8008 c=8.8008 alpha=90.00 beta=90.00 gamma=90.00
Closest atoms and distances in Å follow each position.
Fractional positions:
1 Tm 0.0000 0.6833 0.1833  3 Fe 2.53-2.68
2 Co 0.5000 0.0582 0.7933  2 Fe 2.48, 3 Co 2.63-2.67, 2 Zn 2.64
3 Fe 0.0000 0.6135 0.8865  6 Co 2.32-2.48, 1 Tm 2.53
4 Co 0.5000 0.5000 0.0000  4 Fe 2.32
5 Co 0.5000 0.9418 0.2067  2 Fe 2.48, 3 Co 2.63-2.67, 2 Zn 2.64
6 Fe 0.0000 0.3865 0.1135  6 Co 2.32-2.48, 1 Tm 2.53
7 Co 0.5000 0.2067 0.0582  2 Fe 2.48, 3 Co 2.63-2.67, 2 Zn 2.64
8 Zn 0.0000 0.5000 0.5000  8 Co 2.64
9 Co 0.5000 0.7067 0.4418  2 Fe 2.48, 3 Co 2.63-2.67, 2 Zn 2.64
10 Tm 0.0000 0.8167 0.6833  3 Fe 2.53-2.68
11 Co 0.5000 0.7933 0.9418  2 Fe 2.48, 3 Co 2.63-2.67, 2 Zn 2.64
12 Co 0.5000 0.5582 0.7067  2 Fe 2.48, 3 Co 2.63-2.67, 2 Zn 2.64
13 Co 0.5000 0.4418 0.2933  2 Fe 2.48, 3 Co 2.63-2.67, 2 Zn 2.64
14 Fe 0.0000 0.8865 0.3865  6 Co 2.32-2.48, 1 Tm 2.53
15 Tm 0.0000 0.1833 0.3167  3 Fe 2.53-2.68
16 Co 0.5000 0.0000 0.5000  4 Fe 2.32
17 Co 0.5000 0.2933 0.5582  2 Fe 2.48, 3 Co 2.63-2.67, 2 Zn 2.64
18 Zn 0.0000 0.0000 0.0000  8 Co 2.64
19 Tm 0.0000 0.3167 0.8167  3 Fe 2.53-2.68
20 Fe 0.0000 0.1135 0.6135  6 Co 2.32-2.48, 1 Tm 2.53

Output
theoretical density	9.40	Mg/m³
ΔE_f	-0.03	eV/atom
calculated volume	286	Å³ per cell

# TmZrFeCo

A relaxed TmZrFeCo crystal (GGA-PBE, Alexandria via LeMat-Bulk).

Unit cell a=4.5600 b=4.5600 c=4.5600 alpha=60.00 beta=60.00 gamma=60.00
Closest atoms and distances in Å follow each position.
Fractional positions:
1 Fe 0.2500 0.2500 0.2500  4 Zr 2.79, 4 Tm 2.79
2 Zr 0.0000 0.0000 0.0000  4 Co 2.79, 4 Fe 2.79
3 Co 0.7500 0.7500 0.7500  4 Zr 2.79, 4 Tm 2.79
4 Tm 0.5000 0.5000 0.5000  4 Fe 2.79, 4 Co 2.79

Output
theoretical density	9.29	Mg/m³
ΔE_f	-0.14	eV/atom
calculated volume	67	Å³ per cell